a) The following is a PBE calculation of a relaxed structure of YCSeN2, from the Alexandria database.

Values from the calculation:
Spin magnetization (μB per cell): 3.00

Unit cell a=4.4968 b=4.4968 c=5.7420 alpha=90.00 beta=90.00 gamma=90.00
Last column: nearest neighbours and their distance in Å.
Space group P4/mmm (No. 123)
One atom of each set of equivalent atoms:
Y: 0.0000 0.0000 0.0000 [1 per cell]  4 N 2.25
C: 0.5000 0.5000 0.5000 [1 per cell]  4 Se 3.18
Se: 0.0000 0.0000 0.5000 [1 per cell]  2 Y 2.87, 4 C 3.18
N: 0.0000 0.5000 0.0000 [2 per cell]  2 Y 2.25


b) The following is a PBE calculation of a relaxed structure of YCSeN2, from the Alexandria database.

Values from the calculation:
Spin magnetization (μB per cell): 0.00

Unit cell a=3.9611 b=3.9611 c=4.0312 alpha=90.00 beta=90.00 gamma=90.00
Last column: nearest neighbours and their distance in Å.
Space group P4/mmm (No. 123)
One atom of each set of equivalent atoms:
Y: 0.0000 0.0000 0.0000 [1 per cell]  4 Se 2.80, 8 N 2.83
C: 0.5000 0.5000 0.5000 [1 per cell]  4 N 1.98, 2 Se 2.02
Se: 0.5000 0.5000 0.0000 [1 per cell]  2 C 2.02
N: 0.0000 0.5000 0.5000 [2 per cell]  2 C 1.98


So which one wins? Going from most stable to least: b), a).


a) The following is a PBE calculation of a relaxed structure of ZnCSe2N, from the Alexandria database.

Values from the calculation:
Spin magnetization (μB per cell): 1.81

Unit cell a=5.0100 b=5.0100 c=3.6793 alpha=90.00 beta=90.00 gamma=90.00
Last column: nearest neighbours and their distance in Å.
Space group P4/mmm (No. 123)
One atom of each set of equivalent atoms:
Zn: 0.0000 0.0000 0.0000 [1 per cell]  2 N 1.84
C: 0.5000 0.5000 0.5000 [1 per cell]  8 Se 3.11
Se: 0.0000 0.5000 0.0000 [2 per cell]  2 Zn 2.50
N: 0.0000 0.0000 0.5000 [1 per cell]  2 Zn 1.84


b) The following is a PBE calculation of a relaxed structure of ZnCSe2N, from the Alexandria database.

Values from the calculation:
Spin magnetization (μB per cell): 0.00

Unit cell a=6.2736 b=6.2736 c=2.4703 alpha=90.00 beta=90.00 gamma=90.00
Last column: nearest neighbours and their distance in Å.
Space group P4/mmm (No. 123)
One atom of each set of equivalent atoms:
Zn: 0.0000 0.0000 0.0000 [1 per cell]  2 Zn 2.47
C: 0.5000 0.5000 0.5000 [1 per cell]  2 N 1.24
Se: 0.0000 0.5000 0.5000 [2 per cell]  2 Se 2.47
N: 0.5000 0.5000 0.0000 [1 per cell]  2 C 1.24


So which one wins? Going from most stable to least: b), a).